No. 1
{"formula": "Rb3I", "functional": "GGA-PBE", "state": "optimized geometry", "lattice_angstrom": [[4.7830, 0.0000, 0.0000], [0.0000, 4.9002, 0.0000], [0.0000, 0.0000, 12.7674]], "species": ["Rb", "Rb", "Rb", "I"], "fractional_positions": [[0.0000, 0.0000, 0.0000], [0.0000, 0.5000, 0.3474], [0.5000, 0.5000, 0.7024], [0.5000, 0.0000, 0.2320]], "total_energy_ev_per_atom": -1.783, "e_above_lowest_polymorph_kcal_per_mol_atoms": 0.00, "sg": "Pmm2, No. 25", "formation_energy_uncorrected_mev_per_atom": -670, "rho_g_cm3": 2.1, "m_tot_mub_per_fu": 0.0}

---

No. 2
{"formula": "ScRuPt2", "functional": "GGA-PBE", "state": "optimized geometry", "lattice_angstrom": [[-2.0047, 2.0047, 3.9706], [2.0047, -2.0047, 3.9706], [2.0047, 2.0047, -3.9706]], "species": ["Sc", "Ru", "Pt", "Pt"], "fractional_positions": [[0.0000, 0.0000, 0.0000], [0.2500, 0.7500, 0.5000], [0.5000, 0.5000, 0.0000], [0.7500, 0.2500, 0.5000]], "e_form_ev_per_atom": -0.56, "total_energy_ev_per_atom": -7.487, "sg": "I-4m2, No. 119", "rho_g_cm3": 13.9, "m_tot_mub_per_fu": 0.0}

---

No. 3
{"formula": "CaTeCl2", "functional": "GGA-PBE", "state": "optimized geometry", "lattice_angstrom": [[-2.1048, 2.1048, 5.8196], [2.1048, -2.1048, 5.8196], [2.1048, 2.1048, -5.8196]], "species": ["Ca", "Te", "Cl", "Cl"], "fractional_positions": [[0.0000, 0.0000, 0.0000], [0.7500, 0.2500, 0.5000], [0.2500, 0.7500, 0.5000], [0.5000, 0.5000, 0.0000]], "total_energy_ev_per_atom": -3.313, "e_above_lowest_polymorph_kcal_per_mol_atoms": 8.15, "sg": "I-4m2, No. 119", "formation_energy_uncorrected_mev_per_atom": -1104, "rho_g_cm3": 3.8, "m_tot_mub_per_fu": 0.0}